# Be2CoOsAu | Alexandria | PBE | optimized geometry
# Crystal system ... tetragonal
# E_form ... 27.7 kcal/mol of atoms
data_Be2CoOsAu
_space_group_name_H-M_alt 'P 1'
_space_group_IT_number 1
_space_group_name_Hall 'P 1'
_cell_length_a 3.933
_cell_length_b 3.933
_cell_length_c 4.602
_cell_angle_alpha 90.00
_cell_angle_beta 90.00
_cell_angle_gamma 90.00
loop_
_atom_site_label
_atom_site_fract_x
_atom_site_fract_y
_atom_site_fract_z
_atom_site_occupancy
Be1 0.000 0.500 0.000 1
Be2 0.500 0.000 0.000 1
Co1 0.000 0.000 0.000 1
Os1 0.500 0.500 0.500 1
Au1 0.000 0.000 0.500 1

=====

# BeCoRu2Au | Alexandria | PBE | optimized geometry
# Crystal system ... tetragonal
# E_form ... 43.4 kcal/mol of atoms
data_BeCoRu2Au
_space_group_name_H-M_alt 'P 1'
_space_group_IT_number 1
_space_group_name_Hall 'P 1'
_cell_length_a 4.926
_cell_length_b 4.926
_cell_length_c 4.048
_cell_angle_alpha 90.00
_cell_angle_beta 90.00
_cell_angle_gamma 90.00
loop_
_atom_site_label
_atom_site_fract_x
_atom_site_fract_y
_atom_site_fract_z
_atom_site_occupancy
Be1 0.000 0.000 0.000 1
Co1 0.500 0.500 0.000 1
Ru1 0.000 0.500 0.500 1
Ru2 0.500 0.000 0.500 1
Au1 0.000 0.000 0.500 1

=====

# TiBeCoAu | Alexandria | PBE | optimized geometry
# Crystal system ... cubic
# E_form ... -3.9 kcal/mol of atoms
data_TiBeCoAu
_space_group_name_H-M_alt 'P 1'
_space_group_IT_number 1
_space_group_name_Hall 'P 1'
_cell_length_a 5.983
_cell_length_b 5.983
_cell_length_c 5.983
_cell_angle_alpha 90.00
_cell_angle_beta 90.00
_cell_angle_gamma 90.00
loop_
_atom_site_label
_atom_site_fract_x
_atom_site_fract_y
_atom_site_fract_z
_atom_site_occupancy
Ti1 0.000 0.000 0.000 1
Ti2 0.000 0.500 0.500 1
Ti3 0.500 0.000 0.500 1
Ti4 0.500 0.500 0.000 1
Be1 0.000 0.000 0.500 1
Be2 0.000 0.500 0.000 1
Be3 0.500 0.000 0.000 1
Be4 0.500 0.500 0.500 1
Co1 0.250 0.250 0.750 1
Co2 0.250 0.750 0.250 1
Co3 0.750 0.250 0.250 1
Co4 0.750 0.750 0.750 1
Au1 0.250 0.250 0.250 1
Au2 0.250 0.750 0.750 1
Au3 0.750 0.250 0.750 1
Au4 0.750 0.750 0.250 1

=====

# BeZnCoAu | Alexandria | PBE | optimized geometry
# Crystal system ... cubic
# E_form ... -0.4 kcal/mol of atoms
data_BeZnCoAu
_space_group_name_H-M_alt 'P 1'
_space_group_IT_number 1
_space_group_name_Hall 'P 1'
_cell_length_a 5.870
_cell_length_b 5.870
_cell_length_c 5.870
_cell_angle_alpha 90.00
_cell_angle_beta 90.00
_cell_angle_gamma 90.00
loop_
_atom_site_label
_atom_site_fract_x
_atom_site_fract_y
_atom_site_fract_z
_atom_site_occupancy
Be1 0.000 0.000 0.000 1
Be2 0.000 0.500 0.500 1
Be3 0.500 0.000 0.500 1
Be4 0.500 0.500 0.000 1
Zn1 0.000 0.000 0.500 1
Zn2 0.000 0.500 0.000 1
Zn3 0.500 0.000 0.000 1
Zn4 0.500 0.500 0.500 1
Co1 0.250 0.250 0.250 1
Co2 0.250 0.750 0.750 1
Co3 0.750 0.250 0.750 1
Co4 0.750 0.750 0.250 1
Au1 0.250 0.250 0.750 1
Au2 0.250 0.750 0.250 1
Au3 0.750 0.250 0.250 1
Au4 0.750 0.750 0.750 1